# 1
ZnInCl3 after structural relaxation, computed with GGA-PBEsol.

Summary:
As for the energy relative to the elements, uncorrected: -0.96 eV per atom. The total magnetic moment is 0.00 μB/f.u.

abc: 6.165 6.208 7.405
angles: 90.03 102.96 95.41
Atoms (fractional coordinates):
Zn 0.000 0.000 0.000
Zn 0.082 0.507 0.304
In 0.391 0.541 0.885
In 0.568 0.058 0.423
Cl 0.004 0.338 0.548
Cl 0.358 0.027 0.983
Cl 0.448 0.546 0.311
Cl 0.779 0.816 0.762
Cl 0.893 0.343 0.026
Cl 0.964 0.851 0.280

---

# 2
Si3Pt2 after structural relaxation, computed with GGA-PBEsol.

Summary:
As for the energy relative to the elements, uncorrected: -0.59 eV per atom. The total magnetic moment is 0.00 μB/f.u.

abc: 3.900 3.900 11.963
angles: 90.00 90.00 120.00
Atoms (fractional coordinates):
Si 0.000 0.000 0.250
Si 0.000 0.000 0.750
Si 0.333 0.667 0.065
Si 0.333 0.667 0.435
Si 0.667 0.333 0.565
Si 0.667 0.333 0.935
Pt 0.333 0.667 0.637
Pt 0.333 0.667 0.863
Pt 0.667 0.333 0.137
Pt 0.667 0.333 0.363

---

# 3
Mn5Ir3 after structural relaxation, computed with GGA-PBEsol.

Summary:
The total magnetic moment is 2.85 μB/f.u. The calculation puts the formation energy at -107 meV/atom.

abc: 7.223 7.342 3.659
angles: 90.00 90.00 90.00
Atoms (fractional coordinates):
Mn 0.000 0.000 0.000
Mn 0.248 0.000 0.500
Mn 0.250 0.250 0.000
Mn 0.250 0.750 0.000
Mn 0.252 0.500 0.500
Mn 0.500 0.500 0.000
Mn 0.748 0.500 0.500
Mn 0.750 0.250 0.000
Mn 0.750 0.750 0.000
Mn 0.752 0.000 0.500
Ir 0.000 0.243 0.500
Ir 0.000 0.500 0.000
Ir 0.000 0.757 0.500
Ir 0.500 0.000 0.000
Ir 0.500 0.257 0.500
Ir 0.500 0.743 0.500

---

# 4
Y2AgOs after structural relaxation, computed with GGA-PBEsol.

Summary:
The total magnetic moment is 0.00 μB/f.u. The calculation puts the formation energy at 141 meV/atom.

abc: 3.861 3.861 5.929
angles: 90.00 90.00 90.00
Atoms (fractional coordinates):
Y 0.000 0.000 0.000
Y 0.500 0.500 0.359
Ag 0.000 0.000 0.535
Os 0.500 0.500 0.865

---

# 5
Hg2Pt2Au after structural relaxation, computed with GGA-PBEsol.

Summary:
The total magnetic moment is 0.00 μB/f.u. The calculation puts the formation energy at 242 meV/atom.

abc: 3.696 3.696 14.125
angles: 90.00 90.00 90.00
Atoms (fractional coordinates):
Hg 0.000 0.000 0.100
Hg 0.000 0.000 0.900
Hg 0.500 0.500 0.400
Hg 0.500 0.500 0.600
Pt 0.000 0.500 0.250
Pt 0.000 0.500 0.750
Pt 0.500 0.000 0.250
Pt 0.500 0.000 0.750
Au 0.000 0.000 0.500
Au 0.500 0.500 0.000

---

# 6
RbCa2Rh after structural relaxation, computed with GGA-PBEsol.

Summary:
The total magnetic moment is 0.00 μB/f.u. The calculation puts the formation energy at 266 meV/atom.

abc: 7.548 7.548 7.548
angles: 90.00 90.00 90.00
Atoms (fractional coordinates):
Rb 0.000 0.000 0.000
Rb 0.000 0.500 0.500
Rb 0.500 0.000 0.500
Rb 0.500 0.500 0.000
Ca 0.250 0.250 0.250
Ca 0.250 0.250 0.750
Ca 0.250 0.750 0.250
Ca 0.250 0.750 0.750
Ca 0.750 0.250 0.250
Ca 0.750 0.250 0.750
Ca 0.750 0.750 0.250
Ca 0.750 0.750 0.750
Rh 0.000 0.000 0.500
Rh 0.000 0.500 0.000
Rh 0.500 0.000 0.000
Rh 0.500 0.500 0.500

---

# 7
TlTc2As after structural relaxation, computed with GGA-PBEsol.

Summary:
The total magnetic moment is 0.00 μB/f.u. The calculation puts the formation energy at 303 meV/atom.

abc: 2.981 2.981 26.614
angles: 90.00 90.00 120.00
Atoms (fractional coordinates):
Tl 0.000 0.000 0.000
Tl 0.333 0.667 0.667
Tl 0.667 0.333 0.333
Tc 0.000 0.000 0.497
Tc 0.000 0.000 0.756
Tc 0.333 0.667 0.164
Tc 0.333 0.667 0.423
Tc 0.667 0.333 0.089
Tc 0.667 0.333 0.831
As 0.000 0.000 0.233
As 0.333 0.667 0.899
As 0.667 0.333 0.566

---

# 8
TlAsPb2 after structural relaxation, computed with GGA-PBEsol.

Summary:
The total magnetic moment is 0.00 μB/f.u. The calculation puts the formation energy at 39 meV/atom.

abc: 11.537 3.931 5.435
angles: 90.00 116.31 90.00
Atoms (fractional coordinates):
Tl 0.000 0.000 0.000
Tl 0.500 0.500 0.000
As 0.219 0.500 0.352
As 0.719 0.000 0.352
Pb 0.216 0.000 0.752
Pb 0.422 0.000 0.425
Pb 0.716 0.500 0.752
Pb 0.922 0.500 0.425

---

# 9
SrTaPb2 after structural relaxation, computed with GGA-PBEsol.

Summary:
The total magnetic moment is 0.00 μB/f.u. The calculation puts the formation energy at 267 meV/atom.

abc: 9.872 3.295 6.554
angles: 90.00 99.80 90.00
Atoms (fractional coordinates):
Sr 0.000 0.000 0.000
Sr 0.500 0.500 0.000
Ta 0.000 0.500 0.500
Ta 0.500 0.000 0.500
Pb 0.237 0.000 0.705
Pb 0.263 0.500 0.295
Pb 0.737 0.500 0.705
Pb 0.763 0.000 0.295

---

# 10
CoPtRh2 after structural relaxation, computed with GGA-PBEsol.

Summary:
The total magnetic moment is 2.92 μB/f.u. The calculation puts the formation energy at 32 meV/atom.

abc: 5.307 7.504 2.668
angles: 90.00 90.00 90.00
Atoms (fractional coordinates):
Co 0.000 0.000 0.000
Co 0.500 0.500 0.000
Pt 0.000 0.500 0.000
Pt 0.500 0.000 0.000
Rh 0.250 0.250 0.500
Rh 0.250 0.750 0.500
Rh 0.750 0.250 0.500
Rh 0.750 0.750 0.500

---

# 11
LiPb2 after structural relaxation, computed with GGA-PBEsol.

Summary:
The total magnetic moment is 0.00 μB/f.u. The calculation puts the formation energy at -137 meV/atom.

abc: 11.893 3.509 7.568
angles: 90.00 101.70 90.00
Atoms (fractional coordinates):
Li 0.000 0.000 0.000
Li 0.200 0.500 0.364
Li 0.500 0.500 0.000
Li 0.700 0.000 0.364
Pb 0.127 0.500 0.758
Pb 0.292 0.000 0.096
Pb 0.347 0.000 0.669
Pb 0.488 0.500 0.393
Pb 0.627 0.000 0.758
Pb 0.792 0.500 0.096
Pb 0.847 0.500 0.669
Pb 0.988 0.000 0.393

---

# 12
CaNiP after structural relaxation, computed with GGA-PBEsol.

Summary:
The total magnetic moment is 0.00 μB/f.u. The calculation puts the formation energy at -175 meV/atom.

abc: 3.772 3.772 7.688
angles: 90.00 90.00 90.00
Atoms (fractional coordinates):
Ca 0.000 0.000 0.000
Ca 0.500 0.500 0.500
Ni 0.000 0.000 0.632
Ni 0.500 0.500 0.132
P 0.000 0.000 0.352
P 0.500 0.500 0.852